1.
## Tm2SiNi (GGA-PBE)

Data for a relaxed structure of Tm2SiNi.

Computed properties:
Space group: Amm2
ΔE_f (raw) (meV/atom): -667

Structure (POSCAR):
```
Tm2SiNi
1.0
4.014 0.000 0.000
0.000 3.909 0.000
0.000 -1.955 5.197
Tm Si Ni
2 1 1
direct
0.000 0.983 0.967
0.500 0.266 0.532
0.000 0.693 0.387
0.500 0.557 0.113
```

2.
## Tm2Si3Ni5 (GGA-PBE)

Data for a relaxed structure of Tm2Si3Ni5.

Computed properties:
Space group: Cmc2_1
ΔE_f (raw) (meV/atom): -667

Structure (POSCAR):
```
Tm2Si3Ni5
1.0
3.913 0.000 -0.667
0.000 6.344 0.000
-0.057 0.000 11.485
Tm Si Ni
4 6 10
direct
0.474 0.706 0.949
0.175 0.775 0.349
0.825 0.275 0.651
0.526 0.206 0.051
0.775 0.833 0.550
0.627 0.448 0.254
0.050 0.906 0.099
0.225 0.333 0.450
0.950 0.406 0.901
0.373 0.948 0.746
0.407 0.299 0.815
0.300 0.624 0.600
0.700 0.124 0.400
0.125 0.214 0.250
0.273 0.023 0.546
0.942 0.036 0.883
0.727 0.523 0.454
0.875 0.714 0.750
0.058 0.536 0.117
0.593 0.799 0.185
```

3.
## TmSi2Ni10 (GGA-PBE)

Data for a relaxed structure of TmSi2Ni10.

Computed properties:
Space group: Fmmm
ΔE_f (raw) (meV/atom): -361

Structure (POSCAR):
```
TmSi2Ni10
1.0
-4.785 0.306 0.099
-2.754 -4.343 -3.554
-2.526 -3.373 4.462
Tm Si Ni
1 2 10
direct
0.000 0.000 0.000
0.000 0.500 0.000
0.500 0.500 0.000
0.348 0.646 0.658
0.652 0.354 0.342
0.994 0.354 0.658
0.006 0.646 0.342
0.000 0.000 0.500
0.500 0.000 0.500
0.276 0.229 0.220
0.724 0.771 0.780
0.504 0.771 0.220
0.496 0.229 0.780
```

4.
## Tm3Si3Ni2 (GGA-PBE)

Data for a relaxed structure of Tm3Si3Ni2.

Computed properties:
Space group: Cmcm
ΔE_f (raw) (meV/atom): -848

Structure (POSCAR):
```
Tm3Si3Ni2
1.0
4.115 0.000 0.000
-2.057 5.002 0.000
0.000 0.000 13.711
Tm Si Ni
6 6 4
direct
0.912 0.824 0.390
0.088 0.176 0.890
0.912 0.824 0.110
0.088 0.176 0.610
0.631 0.261 0.250
0.369 0.739 0.750
0.618 0.237 0.462
0.382 0.763 0.962
0.618 0.237 0.038
0.382 0.763 0.538
0.331 0.662 0.250
0.669 0.338 0.750
0.797 0.594 0.904
0.203 0.406 0.404
0.797 0.594 0.596
0.203 0.406 0.096
```

5.
## TmSi2Ni10 (GGA-PBE)

Data for a relaxed structure of TmSi2Ni10.

Computed properties:
Space group: P4/nmm
ΔE_f (raw) (meV/atom): -450

Structure (POSCAR):
```
TmSi2Ni10
1.0
8.154 0.000 0.000
0.000 8.154 0.000
0.000 0.000 4.669
Tm Si Ni
2 4 20
direct
0.000 0.500 0.221
0.500 0.000 0.779
0.750 0.750 0.500
0.250 0.750 0.500
0.750 0.250 0.500
0.250 0.250 0.500
0.750 0.250 0.000
0.750 0.750 0.000
0.250 0.250 0.000
0.250 0.750 0.000
0.352 0.500 0.240
0.000 0.148 0.240
0.000 0.852 0.240
0.648 0.500 0.240
0.148 0.000 0.760
0.852 0.000 0.760
0.500 0.352 0.760
0.500 0.648 0.760
0.778 0.500 0.729
0.000 0.722 0.729
0.000 0.278 0.729
0.222 0.500 0.729
0.722 0.000 0.271
0.278 0.000 0.271
0.500 0.778 0.271
0.500 0.222 0.271
```

6.
## Tm2SiNi (GGA-PBE)

Data for a relaxed structure of Tm2SiNi.

Computed properties:
Space group: Fm-3m
ΔE_f (raw) (meV/atom): -511

Structure (POSCAR):
```
Tm2SiNi
1.0
-4.527 0.252 1.604
-2.962 -3.747 -0.562
-1.346 -2.595 3.819
Ni Si Tm
1 1 2
direct
0.000 0.000 0.000
0.500 0.500 0.500
0.250 0.250 0.250
0.750 0.750 0.750
```

> Which of these has the lowest ΔE_f (raw)?

Tm3Si3Ni2

> Among the records above, which one has the highest ΔE_f (raw)?

number 3

> Among the records above, which one has the lowest ΔE_f (raw)?

Tm3Si3Ni2